[1]
Compound: Cd2SiTe
Source: Alexandria
Functional: GGA-PBE
Structure: optimized geometry

Calculated values
* calculated total energy: -9.55 eV/f.u.
* theoretical density: 6329 kg/m3
* E_form (uncorrected): 0.21 eV/atom
* relative energy among the computed polymorphs: 0.078 eV/atom

The structure in POSCAR format:
```
Cd2SiTe
1.0
6.664 0.028 0.007
4.108 5.247 -0.007
-5.174 -3.069 2.866
Te Cd Si
1 2 1
Cartesian
2.787 2.715 1.430
2.787 -0.521 1.436
0.207 0.101 0.000
5.202 2.548 0.000
```



[2]
Compound: CdSiTe2
Source: Alexandria
Functional: GGA-PBE
Structure: optimized geometry

Calculated values
* calculated total energy: -12.20 eV/f.u.
* theoretical density: 5692 kg/m3
* E_form (uncorrected): 0.10 eV/atom
* relative energy among the computed polymorphs: 0.146 eV/atom

The structure in POSCAR format:
```
CdSiTe2
1.0
7.105 -0.007 -0.031
6.056 3.715 -0.031
0.190 0.053 4.366
Si Te Cd
1 2 1
Cartesian
3.908 1.101 0.893
9.725 2.740 2.611
12.603 3.551 0.354
6.952 1.959 2.534
```



[3]
Compound: CdSiTe2
Source: Alexandria
Functional: GGA-PBE
Structure: optimized geometry

Calculated values
* calculated total energy: -11.26 eV/f.u.
* theoretical density: 6320 kg/m3
* E_form (uncorrected): 0.34 eV/atom
* relative energy among the computed polymorphs: 0.382 eV/atom

The structure in POSCAR format:
```
CdSiTe2
1.0
-2.807 -0.405 -1.749
1.780 -2.816 0.051
-4.775 -2.869 8.327
Te Si Cd
2 1 1
Cartesian
-4.575 -2.749 7.979
-2.587 -1.555 4.512
-4.094 -3.762 5.396
-1.707 -2.328 1.233
```



[4]
Compound: CdSi2Te
Source: Alexandria
Functional: GGA-PBE
Structure: optimized geometry

Calculated values
* calculated total energy: -12.52 eV/f.u.
* theoretical density: 5730 kg/m3
* E_form (uncorrected): 0.60 eV/atom
* relative energy among the computed polymorphs: 0.398 eV/atom

The structure in POSCAR format:
```
CdSi2Te
1.0
5.034 -0.577 0.000
1.165 4.932 0.000
-3.099 -2.177 3.366
Si Te Cd
2 1 1
Cartesian
0.582 2.466 1.683
0.000 0.000 0.000
3.099 2.177 0.000
2.517 -0.289 1.683
```